First-principles (PBE) data for an optimized crystal structure of LiPbW2, as listed in the Alexandria database.

Lattice parameters (Å, degrees): 3.2031 4.7550 9.6615 90.00 90.00 90.00
Sites, in units of the cell vectors:
1 Li 0.0000 0.0000 0.0000
2 Li 0.5000 0.5000 0.0000
3 Pb 0.0000 0.0000 0.5000
4 Pb 0.5000 0.5000 0.5000
5 W 0.0000 0.5000 0.2446
6 W 0.0000 0.5000 0.7554
7 W 0.5000 0.0000 0.2446
8 W 0.5000 0.0000 0.7554

## Properties
Formation enthalpy at 0 K   410 kJ/mol of formula units
VASP energy   -6.82 eV/atom
DOS(E_F)   6.02 states/eV/cell
Calculated density   13.1 g/cm³